No. 1
VASP calculation (GGA-PBE) on a relaxed Nd2NpBi3 crystal.

Output
total DFT energy (no corrections) = -37.65 eV per formula unit
energy of formation from the pure elements = -0.5892 eV per atom
magnetic moment = 3.970 μB/f.u.

a = 9.1623 Å, b = 12.9485 Å, c = 27.4665 Å
α = 90.00°, β = 90.00°, γ = 90.00°
Closest atoms and distances in Å follow each position.
Space group Fddd (No. 70, origin choice 2)
Unique sites:
Nd 0.1250 0.1250 0.0426 x16  6 Bi 3.25-3.27
Nd 0.1250 0.1250 0.3740 x16  6 Bi 3.24-3.26
Np 0.1250 0.1250 0.5415 x16  6 Bi 3.20
Bi 0.1192 0.3750 0.8750 x16  2 Np 3.20, 4 Nd 3.24-3.26
Bi 0.1223 0.3722 0.7094 x32  2 Np 3.20, 4 Nd 3.25-3.27

No. 2
VASP calculation (GGA-PBE) on a relaxed NdNpBi2 crystal.

Output
total DFT energy (no corrections) = -26.74 eV per formula unit
excess energy over the best structure of this formula in the dataset = 0 meV/atom
energy of formation from the pure elements = -0.3169 eV per atom
magnetic moment = 4.662 μB/f.u.

a = 5.9425 Å, b = 5.9425 Å, c = 3.3847 Å
α = 90.00°, β = 90.00°, γ = 90.00°
Closest atoms and distances in Å follow each position.
Space group P4/mmm (No. 123)
Unique sites:
Nd 0.0000 0.0000 0.0000 x1  2 Nd 3.38, 8 Bi 3.42
Np 0.5000 0.5000 0.0000 x1  2 Np 3.38, 8 Bi 3.42
Bi 0.0000 0.5000 0.5000 x2  2 Bi 3.38, 4 Nd 3.42, 4 Np 3.42

No. 3
VASP calculation (GGA-PBE) on a relaxed NdNpBi2 crystal.

Output
total DFT energy (no corrections) = -26.44 eV per formula unit
excess energy over the best structure of this formula in the dataset = 74 meV/atom
energy of formation from the pure elements = -0.2434 eV per atom
magnetic moment = 4.711 μB/f.u.

a = 7.8447 Å, b = 7.8447 Å, c = 7.8447 Å
α = 90.00°, β = 90.00°, γ = 90.00°
Closest atoms and distances in Å follow each position.
Space group Fm-3m (No. 225)
Unique sites:
Nd 0.0000 0.0000 0.0000 x4  8 Bi 3.40
Np 0.0000 0.0000 0.5000 x4  8 Bi 3.40
Bi 0.2500 0.2500 0.2500 x8  4 Nd 3.40, 4 Np 3.40